1.
A relaxed structure of YNi13, computed with GGA-PBEsol.

Cell lengths 7.7826, 7.7826, 7.7826 Å; angles 60.00, 60.00, 60.00 degrees
With the nearest neighbours (Å) after each atom.
Atoms (fractional coordinates):
Ni  0.4371  0.2029  0.7971  10 Ni 2.34-2.58
Ni  0.2029  0.4371  0.5629  10 Ni 2.34-2.58
Ni  0.7971  0.5629  0.4371  10 Ni 2.34-2.58
Ni  0.5629  0.7971  0.2029  10 Ni 2.34-2.58
Ni  0.5629  0.2029  0.4371  10 Ni 2.34-2.58
Ni  0.7971  0.4371  0.2029  10 Ni 2.34-2.58
Ni  0.2029  0.5629  0.7971  10 Ni 2.34-2.58
Ni  0.4371  0.7971  0.5629  10 Ni 2.34-2.58
Ni  0.7971  0.2029  0.5629  10 Ni 2.34-2.58
Ni  0.5629  0.4371  0.7971  10 Ni 2.34-2.58
Ni  0.4371  0.5629  0.2029  10 Ni 2.34-2.58
Ni  0.2029  0.7971  0.4371  10 Ni 2.34-2.58
Ni  0.2971  0.0629  0.7029  10 Ni 2.34-2.58
Ni  0.0629  0.2971  0.9371  10 Ni 2.34-2.58
Ni  0.9371  0.7029  0.0629  10 Ni 2.34-2.58
Ni  0.7029  0.9371  0.2971  10 Ni 2.34-2.58
Ni  0.2971  0.9371  0.0629  10 Ni 2.34-2.58
Ni  0.0629  0.7029  0.2971  10 Ni 2.34-2.58
Ni  0.9371  0.2971  0.7029  10 Ni 2.34-2.58
Ni  0.7029  0.0629  0.9371  10 Ni 2.34-2.58
Ni  0.2971  0.7029  0.9371  10 Ni 2.34-2.58
Ni  0.0629  0.9371  0.7029  10 Ni 2.34-2.58
Ni  0.9371  0.0629  0.2971  10 Ni 2.34-2.58
Ni  0.7029  0.2971  0.0629  10 Ni 2.34-2.58
Ni  0.5000  0.5000  0.5000  12 Ni 2.36
Ni  0.0000  0.0000  0.0000  12 Ni 2.36
Y  0.7500  0.7500  0.7500  24 Ni 3.21
Y  0.2500  0.2500  0.2500  24 Ni 3.21

2.
A relaxed structure of Y2Ni7, computed with GGA-PBEsol.

Cell lengths 4.8593, 4.8593, 12.2104 Å; angles 78.52, 78.52, 60.00 degrees
With the nearest neighbours (Å) after each atom.
Atoms (fractional coordinates):
Y  0.0506  0.0506  0.8482  12 Ni 2.81-3.03
Y  0.8529  0.8529  0.4414  12 Ni 2.77-3.07
Y  0.9494  0.9494  0.1518  12 Ni 2.81-3.03
Y  0.1471  0.1471  0.5586  12 Ni 2.77-3.07
Ni  0.2782  0.2782  0.1653  6 Ni 2.39-2.41
Ni  0.6118  0.6118  0.1647  6 Ni 2.40-2.41
Ni  0.6099  0.1088  0.6713  7 Ni 2.39-2.47
Ni  0.3882  0.3882  0.8353  6 Ni 2.40-2.41
Ni  0.0000  0.5000  0.0000  8 Ni 2.41-2.43
Ni  0.3901  0.3901  0.3287  7 Ni 2.39-2.47
Ni  0.5000  0.5000  0.5000  6 Ni 2.47
Ni  0.6099  0.6099  0.6713  7 Ni 2.39-2.47
Ni  0.7218  0.7218  0.8347  6 Ni 2.39-2.41
Ni  0.3901  0.8912  0.3287  7 Ni 2.39-2.47
Ni  0.1088  0.6099  0.6713  7 Ni 2.39-2.47
Ni  0.5000  0.0000  0.0000  8 Ni 2.41-2.43
Ni  0.5000  0.5000  0.0000  8 Ni 2.41-2.43
Ni  0.8912  0.3901  0.3287  7 Ni 2.39-2.47

no.,E_form (eV/f.u.)
1,-1.05
2,-3.48